VASP calculation (GGA+U) on PuCr3B4O12 after structural relaxation.

Cell: 6.1260 6.1260 6.1260 Å, 103.79 103.79 103.79°
Last column: nearest neighbours and their distance in Å.
Sites, in units of the cell vectors:
Cr1 0.0000 0.5546 0.4454  6 O 1.99-2.05
O1 0.6285 0.7882 0.0322  1 B 1.38
O2 0.9118 0.5000 0.0882  1 B 1.40
B1 0.9434 0.0566 0.5000  3 O 1.38-1.40
O3 0.3559 0.6441 0.5000  1 B 1.39
O4 0.7882 0.0322 0.6285  1 B 1.38
O5 0.2118 0.3715 0.9678  1 B 1.38
Cr2 0.4454 0.0000 0.5546  6 O 1.99-2.05
B2 0.0566 0.5000 0.9434  3 O 1.38-1.40
O6 0.9678 0.2118 0.3715  1 B 1.38
O7 0.0322 0.6285 0.7882  1 B 1.38
Pu1 0.0000 0.0000 0.0000  6 O 2.41
O8 0.5000 0.3559 0.6441  1 B 1.39
O9 0.5000 0.0882 0.9118  1 B 1.40
B3 0.5000 0.9434 0.0566  3 O 1.38-1.40
B4 0.5000 0.5000 0.5000  3 O 1.39
O10 0.6441 0.5000 0.3559  1 B 1.39
Cr3 0.5546 0.4454 0.0000  6 O 1.99-2.05
O11 0.0882 0.9118 0.5000  1 B 1.40
O12 0.3715 0.9678 0.2118  1 B 1.38

* DFT total energy: -169.7 eV/f.u.
* N(E_F): 15.41 states/eV per cell

=====

VASP calculation (GGA+U) on RbCr2B2O6 after structural relaxation.

Cell: 5.6034 5.3864 5.8196 Å, 116.10 94.84 64.70°
Last column: nearest neighbours and their distance in Å.
Sites, in units of the cell vectors:
O1 0.5048 0.3471 0.2000  1 B 1.35
Rb1 0.5000 0.0000 0.5000  10 O 2.84-3.18, 2 B 3.04
O2 0.0902 0.8633 0.6354  1 B 1.41
O3 0.9098 0.1367 0.3646  1 B 1.41
O4 0.1150 0.5769 0.8646  1 B 1.41
O5 0.4952 0.6529 0.8000  1 B 1.35
B1 0.7599 0.3015 0.2280  3 O 1.35-1.41
O6 0.8850 0.4231 0.1354  1 B 1.41
Cr1 0.8684 0.3379 0.7608  5 O 2.00-2.15
Cr2 0.1316 0.6621 0.2392  5 O 2.00-2.15
B2 0.2401 0.6985 0.7720  3 O 1.35-1.41

* DFT total energy: -80.7 eV/f.u.
* N(E_F): 3.24 states/eV per cell

=====

VASP calculation (GGA+U) on RbCr3B4O12 after structural relaxation.

Cell: 6.1809 6.1809 6.1809 Å, 103.00 103.00 103.00°
Last column: nearest neighbours and their distance in Å.
Sites, in units of the cell vectors:
B1 0.5000 0.9432 0.0568  3 O 1.36-1.39
O1 0.9131 0.5000 0.0869  1 B 1.39
O2 0.3553 0.6447 0.5000  1 B 1.40
O3 0.5000 0.3553 0.6447  1 B 1.40
O4 0.6447 0.5000 0.3553  1 B 1.40
O5 0.7649 0.0254 0.5965  1 B 1.36
O6 0.2351 0.4035 0.9746  1 B 1.36
Cr1 0.5560 0.4440 0.0000  6 O 1.91-2.08
O7 0.5965 0.7649 0.0254  1 B 1.36
O8 0.0869 0.9131 0.5000  1 B 1.39
O9 0.5000 0.0869 0.9131  1 B 1.39
B2 0.0568 0.5000 0.9432  3 O 1.36-1.39
Cr2 0.0000 0.5560 0.4440  6 O 1.91-2.08
Rb1 0.0000 0.0000 0.0000  6 O 2.65
Cr3 0.4440 0.0000 0.5560  6 O 1.91-2.08
O10 0.0254 0.5965 0.7649  1 B 1.36
B3 0.5000 0.5000 0.5000  3 O 1.40
O11 0.9746 0.2351 0.4035  1 B 1.36
O12 0.4035 0.9746 0.2351  1 B 1.36
B4 0.9432 0.0568 0.5000  3 O 1.36-1.39

* DFT total energy: -149.8 eV/f.u.
* N(E_F): 6.96 states/eV per cell